[1]
DFT (PBE-GGA) results for a relaxed structure of NdLuInOs.

POSCAR file:
```
NdLuInOs
1.0
-2.469 -3.699 -2.456
0.411 -4.812 1.579
-3.963 -2.301 2.194
In Lu Nd Os
1 1 1 1
Direct
0.250 0.250 0.250
0.500 0.500 0.500
0.000 0.000 0.000
0.750 0.750 0.750
```

***

[2]
DFT (PBE-GGA) results for a relaxed structure of NdLuInPb.

POSCAR file:
```
NdLuInPb
1.0
5.432 0.000 0.000
2.716 4.704 0.000
2.716 1.568 4.435
Lu Nd Pb In
1 1 1 1
Direct
0.500 0.500 0.500
0.000 0.000 0.000
0.750 0.750 0.750
0.250 0.250 0.250
```

***

[3]
DFT (PBE-GGA) results for a relaxed structure of NdLuInPd.

POSCAR file:
```
NdLuInPd
1.0
5.198 0.000 0.000
2.599 4.502 0.000
2.599 1.501 4.244
Pd In Lu Nd
1 1 1 1
Direct
0.000 0.000 0.000
0.500 0.500 0.500
0.250 0.250 0.250
0.750 0.750 0.750
```

***

[4]
DFT (PBE-GGA) results for a relaxed structure of NdLuInPt.

POSCAR file:
```
NdLuInPt
1.0
5.169 0.000 0.000
2.584 4.476 0.000
2.584 1.492 4.220
Nd In Lu Pt
1 1 1 1
Direct
0.500 0.500 0.500
0.250 0.250 0.250
0.000 0.000 0.000
0.750 0.750 0.750
```

***

Number 1: magnetization 0.0 μB/f.u., calculated formation energy -166 meV/atom, final energy -0.220 hartree per atom. Number 2: magnetization 0.0 μB/f.u., calculated formation energy -378 meV/atom, final energy -0.158 hartree per atom. Number 3: magnetization 0.0 μB/f.u., calculated formation energy -564 meV/atom, final energy -0.179 hartree per atom. Number 4: magnetization 0.0 μB/f.u., calculated formation energy -697 meV/atom, final energy -0.192 hartree per atom.